VASP calculation (PBE-GGA) on a relaxed PmScCdAu crystal.

Properties
- Density: 8.71 g/cm³
- ΔE_f: -0.487 eV per atom
- Spin magnetization: 0.00 Bohr magnetons per cell

```
data_PmScCdAu
_chemical_formula_sum 'Pm4 Sc4 Cd4 Au4'
_space_group_name_H-M_alt 'F -4 3 m'
_space_group_IT_number 216
_space_group_name_Hall 'F -4 2 3'
_cell_length_a 7.248
_cell_length_b 7.248
_cell_length_c 7.248
_cell_angle_alpha 90.00
_cell_angle_beta 90.00
_cell_angle_gamma 90.00
loop_
_atom_site_label
_atom_site_type_symbol
_atom_site_fract_x
_atom_site_fract_y
_atom_site_fract_z
Pm1 Pm 0.000 0.000 0.000
Sc1 Sc 0.000 0.000 0.500
Cd1 Cd 0.250 0.250 0.250
Au1 Au 0.250 0.250 0.750
```